[1]
Material: Tm2In4Ga4Co
Method: DFT, GGA-PBE
State: optimized geometry

abc: 4.4129 4.4129 11.6353
angles: 90.00 90.00 90.00
Closest atoms and distances in Å follow each position.
Fractional coordinates of all 11 atoms:
Tm  0.0000  0.0000  0.1743  8 Ga 3.00-3.12, 4 In 3.18
Tm  0.0000  0.0000  0.8257  8 Ga 3.00-3.12, 4 In 3.18
In  0.0000  0.5000  0.3715  2 Co 2.67
In  0.0000  0.5000  0.6285  2 Co 2.67
In  0.5000  0.0000  0.3715  2 Co 2.67
In  0.5000  0.0000  0.6285  2 Co 2.67
Ga  0.0000  0.5000  0.0000  4 Tm 3.00, 8 Ga 3.00-3.12
Ga  0.5000  0.0000  0.0000  4 Tm 3.00, 8 Ga 3.00-3.12
Ga  0.5000  0.5000  0.1747  4 Ga 3.00, 4 Tm 3.12, 4 In 3.18
Ga  0.5000  0.5000  0.8253  4 Ga 3.00, 4 Tm 3.12, 4 In 3.18
Co  0.0000  0.0000  0.5000  8 In 2.67

Output
Energy above the lowest structure with this stoichiometry = 44 meV/atom
ρ = 8318 kg/m³

[2]
Material: TmInGa4Co
Method: DFT, GGA-PBE
State: optimized geometry

abc: 4.3077 4.3077 6.8152
angles: 90.00 90.00 90.00
Closest atoms and distances in Å follow each position.
Fractional coordinates of all 7 atoms:
Tm  0.0000  0.0000  0.0000  8 Ga 3.03, 4 In 3.05
In  0.5000  0.5000  0.0000  8 Ga 3.03, 4 Tm 3.05
Ga  0.0000  0.5000  0.3128  2 Co 2.50, 1 Ga 2.55
Ga  0.0000  0.5000  0.6872  2 Co 2.50, 1 Ga 2.55
Ga  0.5000  0.0000  0.3128  2 Co 2.50, 1 Ga 2.55
Ga  0.5000  0.0000  0.6872  2 Co 2.50, 1 Ga 2.55
Co  0.0000  0.0000  0.5000  8 Ga 2.50

Output
Final energy = -4.1663 eV/atom
ρ = 8162 kg/m³

[3]
Material: GaCoIr
Method: DFT, GGA-PBE
State: optimized geometry

abc: 4.0887 4.0887 4.0887
angles: 60.00 60.00 60.00
Closest atoms and distances in Å follow each position.
Fractional coordinates of all 3 atoms:
Ga  0.0000  0.0000  0.0000  4 Ir 2.50
Co  0.5000  0.5000  0.5000  4 Ir 2.50
Ir  0.7500  0.7500  0.7500  4 Ga 2.50, 4 Co 2.50

Output
Final energy = -6.2913 eV/atom
ρ = 11024 kg/m³

[4]
Material: Ga2CoIr
Method: DFT, GGA-PBE
State: optimized geometry

abc: 4.2690 4.2690 4.2690
angles: 60.00 60.00 60.00
Closest atoms and distances in Å follow each position.
Fractional coordinates of all 4 atoms:
Ga  0.0000  0.0000  0.0000  4 Ir 2.61, 4 Ga 2.61
Ga  0.2500  0.2500  0.2500  4 Co 2.61, 4 Ga 2.61
Co  0.5000  0.5000  0.5000  4 Ir 2.61, 4 Ga 2.61
Ir  0.7500  0.7500  0.7500  4 Co 2.61, 4 Ga 2.61

Output
Final energy = -5.4697 eV/atom
ρ = 11790 kg/m³

Among the records above, which one has the lowest ρ? TmInGa4Co

What is the ρ in the fourth record? 11790 kg/m³

What is the ρ in the first record? 8318 kg/m³

ρ of number 1 (Tm2In4Ga4Co)? 8318 kg/m³